Entry 1:
Material: K4NdRu3O12
Method: DFT, PBE
State: optimized geometry

```
20
Lattice="7.103 0.000 0.000 -2.368 6.697 0.000 -2.368 -3.348 5.800" Properties=species:S:1:pos:R:3 pbc="T T T"
K 3.552 0.000 0.000
O 1.300 1.838 0.000
O -1.300 0.919 1.592
O 1.184 -0.837 4.350
K -1.184 -1.674 2.900
O 3.436 4.859 0.000
K -1.184 3.348 0.000
K 1.184 1.674 2.900
O 3.552 2.511 1.450
O 1.184 4.186 1.450
O 3.552 0.000 2.900
O -1.184 0.837 4.350
O 3.436 -2.429 4.208
Nd 0.000 0.000 0.000
O -3.436 2.429 4.208
Ru 2.368 -1.674 2.900
O 1.300 -0.919 1.592
O -1.184 3.348 2.900
Ru -2.368 1.674 2.900
Ru 2.368 3.348 0.000
```

Output
Formation energy from raw total energies (meV per atom): -1345
DOS(E_F) (states/eV per cell): 8.46
Space group: No. 229
Uncorrected energy (eV/atom): -6.17

=====

Entry 2:
Material: K2NdRuO6
Method: DFT, PBE
State: optimized geometry

```
10
Lattice="-5.872 0.369 -1.236 -2.631 -4.219 -3.380 -3.848 -3.886 2.499" Properties=species:S:1:pos:R:3 pbc="T T T"
O -6.599 -3.401 1.088
O -7.780 -5.295 -0.429
O -5.144 -5.461 0.126
O -1.842 -1.425 0.266
Nd -9.063 -5.285 -2.389
Ru -2.887 -1.417 -1.331
K -5.975 -3.351 -1.860
O -4.478 -1.260 -0.289
O -3.023 -3.319 -1.251
K -3.647 -3.369 1.697
```

Output
Formation energy from raw total energies (meV per atom): -1690
DOS(E_F) (states/eV per cell): 4.04
Space group: No. 225
Uncorrected energy (eV/atom): -6.29

=====

Entry 3:
Material: K2NdRu3O12
Method: DFT, PBE
State: optimized geometry

```
18
Lattice="6.723 -0.360 -0.256 3.007 6.024 -0.256 3.007 1.750 5.770" Properties=species:S:1:pos:R:3 pbc="T T T"
Nd 0.000 0.000 0.000
Ru 1.503 0.875 2.885
O 9.693 3.982 4.583
O 7.470 1.688 1.197
O 3.044 1.772 3.015
K 5.146 2.996 2.125
O 8.250 6.462 4.583
O 7.580 1.752 4.062
Ru 3.362 -0.180 -0.128
Ru 1.503 3.012 -0.128
O 9.693 5.642 2.243
O 5.267 5.726 4.062
O 5.156 5.662 1.197
O 7.580 4.412 0.311
O 5.156 3.001 4.948
O 3.044 3.432 0.675
O 4.487 0.952 0.675
K 7.591 4.418 3.134
```

Output
Formation energy from raw total energies (meV per atom): -1248
DOS(E_F) (states/eV per cell): 6.63
Space group: No. 166
Uncorrected energy (eV/atom): -6.49

=====

Entry 4:
Material: KNdS2O8
Method: DFT, PBE
State: optimized geometry

```
12
Lattice="-4.119 0.907 -3.495 4.695 -2.169 -1.804 -2.902 -7.507 1.471" Properties=species:S:1:pos:R:3 pbc="T T T"
O -0.971 -6.205 -2.546
K 0.000 0.000 0.000
S -1.912 -2.009 -2.561
S -0.414 -6.759 -1.267
O 1.082 -6.772 -1.386
O -1.548 -2.956 -3.667
O -0.777 -5.813 -0.160
O -1.354 -2.563 -1.282
Nd -1.451 -3.754 0.736
O -0.929 -8.094 -1.006
O -1.396 -0.675 -2.822
O -3.408 -1.996 -2.441
```

Output
Formation energy from raw total energies (meV per atom): -2054
E above lowest polymorph (meV/atom): 31
DOS(E_F) (states/eV per cell): 0.00
Space group: No. 147
Uncorrected energy (eV/atom): -6.54

=====

Entry 5:
Material: KNdS2O8
Method: DFT, PBE
State: optimized geometry

```
48
Lattice="-6.160 -1.379 3.616 -0.009 -8.194 -3.140 5.734 -2.808 8.697" Properties=species:S:1:pos:R:3 pbc="T T T"
S -1.713 -8.011 3.650
O -2.009 -8.570 0.469
O 1.897 -9.477 4.477
S -0.449 -2.710 0.506
O -0.475 -4.534 9.638
O -1.572 -8.249 5.121
O 0.746 -5.649 5.958
O 2.715 -4.216 5.923
O -2.085 -3.609 7.073
O -4.089 -2.012 2.218
O 2.592 -7.255 3.736
O -2.332 -2.904 4.696
S 1.278 -4.369 5.523
O 0.040 -7.847 -0.465
O 0.484 -3.208 6.109
O 1.574 -3.810 8.704
O -1.181 -6.731 3.215
S 0.014 -9.670 8.667
K -1.481 -6.604 7.384
S 2.461 -8.645 3.330
S -1.437 -7.472 -0.413
K 2.693 -7.454 6.854
O -0.450 -11.113 8.821
O 3.654 -10.369 6.955
O -4.465 -6.851 0.788
O -3.027 -5.125 5.437
O 4.030 -5.529 8.385
O 0.015 -1.267 0.352
O -1.598 -6.148 0.164
O -4.240 -3.066 6.085
Nd 3.831 -3.081 7.823
S -2.896 -3.736 5.843
O 0.350 -9.427 7.226
O 1.137 -4.131 4.052
S 1.002 -4.909 9.586
K -3.128 -4.927 2.319
Nd -4.266 -9.300 1.350
O -0.785 -2.954 1.947
Nd -0.035 -1.900 4.061
O 3.804 -9.315 3.088
O -0.919 -9.173 3.064
O 0.558 -3.646 0.037
K 1.046 -5.777 1.789
O 1.650 -8.772 2.100
Nd -0.400 -10.480 5.112
O -0.993 -8.735 9.136
O 1.163 -6.233 9.009
O -3.150 -8.164 3.250
```

Output
Formation energy from raw total energies (meV per atom): -2085
E above lowest polymorph (meV/atom): 0
DOS(E_F) (states/eV per cell): 0.00
Space group: No. 14
Uncorrected energy (eV/atom): -6.57

=====

Entry 6:
Material: KNdS2O8
Method: DFT, PBE
State: optimized geometry

```
24
Lattice="5.483 0.011 -0.017 -0.108 7.044 -0.054 -0.426 -1.297 9.124" Properties=species:S:1:pos:R:3 pbc="T T T"
O 3.859 5.773 6.124
O 4.292 3.714 1.699
S 1.047 1.021 4.000
O -0.195 4.674 4.520
O 3.566 3.425 5.669
O 1.383 2.332 3.385
O 2.019 0.706 5.067
O 2.837 5.525 0.932
O 1.090 -0.015 2.930
O 2.112 0.232 8.121
Nd 1.131 4.553 2.495
S 3.902 4.736 5.053
K 3.908 1.025 1.624
O 3.484 2.815 8.415
O 2.930 5.052 3.987
Nd 3.817 1.204 6.559
O 1.465 2.943 0.638
O 0.657 2.043 7.354
S 0.882 1.031 8.434
O 5.144 1.083 4.533
K 1.041 4.732 7.430
S 4.067 4.726 0.620
O 5.260 5.633 0.648
O -0.311 0.124 8.405
```

Output
Formation energy from raw total energies (meV per atom): -2084
E above lowest polymorph (meV/atom): 1
DOS(E_F) (states/eV per cell): 0.00
Space group: No. 2
Uncorrected energy (eV/atom): -6.57